Sm2ScSi3Ir4 after structural relaxation, computed with GGA-PBE.

Cell lengths 4.107, 4.107, 10.689 Å; angles 90.00, 90.00, 90.00 degrees
Space group P-4m2 (No. 115)
Inequivalent atoms, fractional coordinates:
Sm 0.000 0.500 0.238 (multiplicity 2)
Sc 0.000 0.000 0.500 (multiplicity 1)
Si 0.000 0.500 0.878 (multiplicity 2)
Si 0.500 0.500 0.500 (multiplicity 1)
Ir 0.000 0.000 0.000 (multiplicity 1)
Ir 0.000 0.500 0.652 (multiplicity 2)
Ir 0.500 0.500 0.000 (multiplicity 1)

- DOS(E_F) (states/eV/f.u.) = 4.79
- formation energy (no corrections) (meV/atom) = -1022